<i>
# Sn4PbS8

An optimized crystal structure of Sn4PbS8 (PBE, the Alexandria database).

Cell lengths 7.936, 7.936, 7.936 Å; angles 60.00, 60.00, 60.00 degrees
Fractional coordinates of all 13 atoms:
Sn 0.894 0.369 0.369
Sn 0.369 0.894 0.369
Sn 0.369 0.369 0.894
Sn 0.369 0.369 0.369
Pb 0.750 0.750 0.750
S 0.605 0.132 0.132
S 0.132 0.605 0.132
S 0.132 0.132 0.605
S 0.132 0.132 0.132
S 0.175 0.608 0.608
S 0.608 0.175 0.608
S 0.608 0.608 0.175
S 0.608 0.608 0.608

Summary:
- Magnetic moment: 0.000 μB per atom

---

<ii>
# Sn4PbS8

An optimized crystal structure of Sn4PbS8 (PBE, the Alexandria database).

Cell lengths 7.624, 7.624, 8.459 Å; angles 63.21, 63.21, 60.00 degrees
Fractional coordinates of all 13 atoms:
Sn 0.000 0.500 0.000
Sn 0.500 0.500 0.000
Sn 0.500 0.000 0.000
Sn 0.000 0.000 0.000
Pb 0.500 0.500 0.500
S 0.721 0.244 0.791
S 0.756 0.279 0.209
S 0.279 0.756 0.209
S 0.756 0.756 0.209
S 0.734 0.734 0.799
S 0.266 0.266 0.201
S 0.244 0.244 0.791
S 0.244 0.721 0.791

Summary:
- Magnetic moment: 0.000 μB per atom

---

Sorted by energy, starting with the most stable: <ii>, <i>.

---

<i>
# Sn3PbS

An optimized crystal structure of Sn3PbS (PBE, the Alexandria database).

Cell lengths 5.374, 5.374, 5.374 Å; angles 90.00, 90.00, 90.00 degrees
Fractional coordinates of all 5 atoms:
Pb 0.500 0.500 0.500
S 0.000 0.000 0.000
Sn 0.000 0.500 0.000
Sn 0.000 0.000 0.500
Sn 0.500 0.000 0.000

Summary:
- Magnetic moment: 0.000 μB per atom

---

<ii>
# Sn3PbS

An optimized crystal structure of Sn3PbS (PBE, the Alexandria database).

Cell lengths 5.813, 5.813, 5.813 Å; angles 90.00, 90.00, 90.00 degrees
Fractional coordinates of all 5 atoms:
Pb 0.000 0.000 0.000
S 0.500 0.500 0.500
Sn 0.000 0.500 0.000
Sn 0.000 0.000 0.500
Sn 0.500 0.000 0.000

Summary:
- Magnetic moment: 0.000 μB per atom

---

Sorted by energy, starting with the most stable: <i>, <ii>.

---

<i>
# Sn2PbS

An optimized crystal structure of Sn2PbS (PBE, the Alexandria database).

Cell lengths 3.520, 3.520, 10.614 Å; angles 80.46, 80.46, 60.00 degrees
Fractional coordinates of all 4 atoms:
Pb 0.000 0.000 0.000
S 0.500 0.500 0.500
Sn 0.105 0.105 0.685
Sn 0.895 0.895 0.315

Summary:
- Magnetic moment: 0.000 μB per atom

---

<ii>
# Sn2PbS

An optimized crystal structure of Sn2PbS (PBE, the Alexandria database).

Cell lengths 4.643, 4.643, 11.052 Å; angles 77.87, 77.87, 90.00 degrees
Fractional coordinates of all 8 atoms:
Pb 0.000 0.000 0.000
Pb 0.750 0.250 0.500
S 0.500 0.500 0.000
S 0.250 0.750 0.500
Sn 0.567 0.125 0.250
Sn 0.183 0.625 0.250
Sn 0.375 0.433 0.750
Sn 0.875 0.817 0.750

Summary:
- Magnetic moment: 0.000 μB per atom

---

Sorted by energy, starting with the most stable: <i>, <ii>.

---

<i>
# Sr2PbS

An optimized crystal structure of Sr2PbS (PBE, the Alexandria database).

Cell lengths 4.201, 4.201, 9.004 Å; angles 76.51, 76.51, 60.00 degrees
Fractional coordinates of all 4 atoms:
Pb 0.500 0.500 0.500
Sr 0.265 0.265 0.204
Sr 0.735 0.735 0.796
S 0.000 0.000 0.000

Summary:
- Magnetic moment: 0.000 μB per atom

---

<ii>
# Sr2PbS

An optimized crystal structure of Sr2PbS (PBE, the Alexandria database).

Cell lengths 5.606, 5.606, 5.606 Å; angles 60.00, 60.00, 60.00 degrees
Fractional coordinates of all 4 atoms:
Pb 0.500 0.500 0.500
Sr 0.250 0.250 0.250
Sr 0.750 0.750 0.750
S 0.000 0.000 0.000

Summary:
- Magnetic moment: 0.000 μB per atom

---

<iii>
# Sr2PbS

An optimized crystal structure of Sr2PbS (PBE, the Alexandria database).

Cell lengths 8.284, 8.284, 7.297 Å; angles 55.41, 55.41, 90.00 degrees
Fractional coordinates of all 8 atoms:
Pb 0.000 0.000 0.000
Pb 0.750 0.250 0.500
Sr 0.570 0.125 0.250
Sr 0.180 0.625 0.250
Sr 0.375 0.430 0.750
Sr 0.875 0.820 0.750
S 0.500 0.500 0.000
S 0.250 0.750 0.500

Summary:
- Magnetic moment: 0.000 μB per atom

---

Sorted by energy, starting with the most stable: <i>, <iii>, <ii>.

---

<i>
# SrPbS3

An optimized crystal structure of SrPbS3 (PBE, the Alexandria database).

Cell lengths 5.187, 5.187, 5.187 Å; angles 90.00, 90.00, 90.00 degrees
Fractional coordinates of all 5 atoms:
Sr 0.500 0.500 0.500
Pb 0.000 0.000 0.000
S 0.000 0.500 0.000
S 0.000 0.000 0.500
S 0.500 0.000 0.000

Summary:
- Magnetic moment: 0.000 μB per atom

---

<ii>
# SrPbS3

An optimized crystal structure of SrPbS3 (PBE, the Alexandria database).

Cell lengths 5.456, 5.456, 5.456 Å; angles 90.00, 90.00, 90.00 degrees
Fractional coordinates of all 5 atoms:
Pb 0.500 0.500 0.500
Sr 0.000 0.000 0.000
S 0.000 0.500 0.000
S 0.000 0.000 0.500
S 0.500 0.000 0.000

Summary:
- Magnetic moment: 0.400 μB per atom

---

Sorted by energy, starting with the most stable: <i>, <ii>.

---

<i>
# Ta3PbS

An optimized crystal structure of Ta3PbS (PBE, the Alexandria database).

Cell lengths 5.155, 5.155, 5.155 Å; angles 90.00, 90.00, 90.00 degrees
Fractional coordinates of all 5 atoms:
Pb 0.000 0.000 0.000
S 0.500 0.500 0.500
Ta 0.000 0.500 0.000
Ta 0.000 0.000 0.500
Ta 0.500 0.000 0.000

Summary:
- Magnetic moment: 0.360 μB per atom

---

<ii>
# Ta3PbS

An optimized crystal structure of Ta3PbS (PBE, the Alexandria database).

Cell lengths 4.621, 4.621, 4.621 Å; angles 90.00, 90.00, 90.00 degrees
Fractional coordinates of all 5 atoms:
Pb 0.500 0.500 0.500
S 0.000 0.000 0.000
Ta 0.000 0.500 0.000
Ta 0.000 0.000 0.500
Ta 0.500 0.000 0.000

Summary:
- Magnetic moment: 0.000 μB per atom

---

Sorted by energy, starting with the most stable: <ii>, <i>.

---

<i>
# Tb2PbS

An optimized crystal structure of Tb2PbS (PBE, the Alexandria database).

Cell lengths 3.882, 3.882, 8.220 Å; angles 89.70, 103.92, 120.10 degrees
Fractional coordinates of all 4 atoms:
Tb 0.533 0.268 0.801
Tb 0.467 0.732 0.199
Pb 0.000 0.500 0.500
S 0.000 0.000 0.000

Summary:
- Magnetic moment: 0.000 μB per atom

---

<ii>
# Tb2PbS

An optimized crystal structure of Tb2PbS (PBE, the Alexandria database).

Cell lengths 3.814, 3.814, 8.236 Å; angles 90.00, 90.00, 60.00 degrees
Fractional coordinates of all 4 atoms:
Tb 0.667 0.667 0.195
Tb 0.333 0.333 0.805
Pb 0.000 0.000 0.500
S 0.000 0.000 0.000

Summary:
- Magnetic moment: 0.000 μB per atom

---

Sorted by energy, starting with the most stable: <i>, <ii>.

---

<i>
# TcPb3S

An optimized crystal structure of TcPb3S (PBE, the Alexandria database).

Cell lengths 5.260, 5.260, 5.260 Å; angles 90.00, 90.00, 90.00 degrees
Fractional coordinates of all 5 atoms:
Pb 0.000 0.500 0.000
Pb 0.000 0.000 0.500
Pb 0.500 0.000 0.000
S 0.500 0.500 0.500
Tc 0.000 0.000 0.000

Summary:
- Magnetic moment: 0.000 μB per atom

---

<ii>
# TcPb3S

An optimized crystal structure of TcPb3S (PBE, the Alexandria database).

Cell lengths 5.434, 5.434, 5.434 Å; angles 90.00, 90.00, 90.00 degrees
Fractional coordinates of all 5 atoms:
Pb 0.000 0.500 0.000
Pb 0.000 0.000 0.500
Pb 0.500 0.000 0.000
S 0.000 0.000 0.000
Tc 0.500 0.500 0.500

Summary:
- Magnetic moment: 0.702 μB per atom

---

Sorted by energy, starting with the most stable: <i>, <ii>.

---

<i>
# TePbS2

An optimized crystal structure of TePbS2 (PBE, the Alexandria database).

Cell lengths 8.817, 8.817, 8.817 Å; angles 26.35, 26.35, 26.35 degrees
Fractional coordinates of all 4 atoms:
Pb 0.500 0.500 0.500
S 0.900 0.900 0.900
S 0.100 0.100 0.100
Te 0.000 0.000 0.000

Summary:
- Magnetic moment: 0.000 μB per atom

---

<ii>
# TePbS2

An optimized crystal structure of TePbS2 (PBE, the Alexandria database).

Cell lengths 5.059, 5.059, 5.059 Å; angles 60.00, 60.00, 60.00 degrees
Fractional coordinates of all 4 atoms:
Pb 0.500 0.500 0.500
S 0.250 0.250 0.250
S 0.750 0.750 0.750
Te 0.000 0.000 0.000

Summary:
- Magnetic moment: 0.000 μB per atom

---

Sorted by energy, starting with the most stable: <i>, <ii>.

---

<i>
# TePbS2

An optimized crystal structure of TePbS2 (PBE, the Alexandria database).

Cell lengths 4.437, 7.892, 7.346 Å; angles 78.86, 90.23, 68.44 degrees
Fractional coordinates of all 8 atoms:
Te 0.756 0.858 0.746
Te 0.958 0.163 0.245
Pb 0.726 0.707 0.238
Pb 0.464 0.344 0.750
S 0.947 0.349 0.486
S 0.189 0.723 0.550
S 0.078 0.913 0.988
S 0.883 0.443 0.998

Summary:
- Magnetic moment: 0.000 μB per atom

---

<ii>
# TePbS2

An optimized crystal structure of TePbS2 (PBE, the Alexandria database).

Cell lengths 4.401, 4.401, 7.733 Å; angles 73.47, 73.47, 60.00 degrees
Fractional coordinates of all 4 atoms:
Te 0.648 0.648 0.055
Pb 0.479 0.479 0.562
S 0.089 0.089 0.732
S 0.283 0.283 0.151

Summary:
- Magnetic moment: 0.000 μB per atom

---

<iii>
# TePbS2

An optimized crystal structure of TePbS2 (PBE, the Alexandria database).

Cell lengths 8.077, 8.429, 8.203 Å; angles 124.01, 90.00, 90.00 degrees
Fractional coordinates of all 16 atoms:
Te 0.610 0.248 0.998
Te 0.110 0.252 0.502
Te 0.390 0.752 0.002
Te 0.890 0.748 0.498
Pb 0.102 0.253 0.003
Pb 0.398 0.753 0.503
Pb 0.898 0.747 0.997
Pb 0.602 0.247 0.497
S 0.305 0.160 0.665
S 0.195 0.845 0.840
S 0.805 0.340 0.835
S 0.695 0.840 0.335
S 0.805 0.155 0.160
S 0.695 0.655 0.660
S 0.305 0.345 0.340
S 0.195 0.660 0.165

Summary:
- Magnetic moment: 0.000 μB per atom

---

Sorted by energy, starting with the most stable: <iii>, <i>, <ii>.

---

<i>
# TePbS3

An optimized crystal structure of TePbS3 (PBE, the Alexandria database).

Cell lengths 5.066, 5.066, 5.066 Å; angles 90.00, 90.00, 90.00 degrees
Fractional coordinates of all 5 atoms:
Pb 0.500 0.500 0.500
S 0.000 0.500 0.000
S 0.000 0.000 0.500
S 0.500 0.000 0.000
Te 0.000 0.000 0.000

Summary:
- Magnetic moment: 0.000 μB per atom

---

<ii>
# TePbS3

An optimized crystal structure of TePbS3 (PBE, the Alexandria database).

Cell lengths 3.945, 9.352, 14.169 Å; angles 90.00, 90.00, 90.00 degrees
Fractional coordinates of all 20 atoms:
Te 0.250 0.171 0.060
Te 0.750 0.829 0.940
Te 0.750 0.329 0.560
Te 0.250 0.671 0.440
Pb 0.250 0.491 0.839
Pb 0.750 0.509 0.161
Pb 0.750 0.009 0.339
Pb 0.250 0.991 0.661
S 0.750 0.697 0.788
S 0.250 0.158 0.491
S 0.250 0.499 0.620
S 0.250 0.999 0.880
S 0.250 0.658 0.009
S 0.750 0.001 0.120
S 0.250 0.803 0.288
S 0.750 0.501 0.380
S 0.750 0.842 0.509
S 0.750 0.197 0.712
S 0.750 0.342 0.991
S 0.250 0.303 0.212

Summary:
- Magnetic moment: 0.000 μB per atom

---

<iii>
# TePbS3

An optimized crystal structure of TePbS3 (PBE, the Alexandria database).

Cell lengths 3.864, 8.444, 8.999 Å; angles 98.86, 102.40, 90.00 degrees
Fractional coordinates of all 10 atoms:
Te 0.578 0.707 0.157
Te 0.422 0.293 0.843
Pb 0.789 0.753 0.578
Pb 0.211 0.247 0.422
S 0.991 0.764 0.982
S 0.009 0.236 0.018
S 0.334 0.050 0.667
S 0.666 0.950 0.333
S 0.184 0.598 0.367
S 0.816 0.402 0.633

Summary:
- Magnetic moment: 0.000 μB per atom

---

Sorted by energy, starting with the most stable: <ii>, <iii>, <i>.